## TbPmEuTm (PBE)

Data for a relaxed structure of TbPmEuTm.

```
data_TbPmEuTm
_symmetry_space_group_name_H-M 'P 1'
_symmetry_Int_Tables_number 1
_symmetry_space_group_name_Hall 'P 1'
_cell_length_a 5.763
_cell_length_b 5.763
_cell_length_c 5.763
_cell_angle_alpha 60.00
_cell_angle_beta 60.00
_cell_angle_gamma 60.00
loop_
_atom_site_label
_atom_site_fract_x
_atom_site_fract_y
_atom_site_fract_z
Tm1 0.500 0.500 0.500
Pm1 0.250 0.250 0.250
Tb1 0.000 0.000 0.000
Eu1 0.750 0.750 0.750
```

calculated total energy: -23.51 eV for the cell shown
Fermi-level density of states: 7.400 states/eV/f.u.
energy of formation: 155 meV/atom